No. 1
{"formula": "LaAl2Os", "functional": "GGA-PBEsol", "state": "relaxed", "cell": [[3.230, 0.000, 0.000], [0.000, 4.873, 0.000], [0.000, 0.000, 9.423]], "species": ["La", "La", "Al", "Al", "Al", "Al", "Os", "Os"], "frac_coords": [[0.000, 0.000, 0.000], [0.500, 0.500, 0.000], [0.000, 0.500, 0.298], [0.000, 0.500, 0.702], [0.500, 0.000, 0.298], [0.500, 0.000, 0.702], [0.000, 0.000, 0.500], [0.500, 0.500, 0.500]], "energy_ev_per_atom": -6.3463, "dos_ef_per_ev_atom": 0.62, "magmom_total_mub_per_cell": 0.0, "formation_energy_ev_per_atom": 0.09, "vol_a3_per_cell": 148.3}

=====

No. 2
{"formula": "KCd2Cu", "functional": "GGA-PBEsol", "state": "relaxed", "cell": [[4.615, 0.000, 0.000], [-2.308, 3.997, 0.000], [0.000, 0.000, 18.219]], "species": ["K", "K", "K", "Cd", "Cd", "Cd", "Cd", "Cd", "Cd", "Cu", "Cu", "Cu"], "frac_coords": [[0.000, 0.000, 0.000], [0.333, 0.667, 0.667], [0.667, 0.333, 0.333], [0.000, 0.000, 0.191], [0.000, 0.000, 0.809], [0.333, 0.667, 0.475], [0.333, 0.667, 0.858], [0.667, 0.333, 0.142], [0.667, 0.333, 0.525], [0.000, 0.000, 0.500], [0.333, 0.667, 0.167], [0.667, 0.333, 0.833]], "energy_ev_per_atom": -1.8793, "dos_ef_per_ev_atom": 0.39, "magmom_total_mub_per_cell": 0.0, "formation_energy_ev_per_atom": 0.09, "vol_a3_per_cell": 336.1}

=====

No. 3
{"formula": "Mo3PtAu", "functional": "GGA-PBEsol", "state": "relaxed", "cell": [[4.693, 0.000, 0.000], [0.000, 4.693, 0.000], [0.000, 0.000, 4.693]], "species": ["Mo", "Mo", "Mo", "Pt", "Au"], "frac_coords": [[0.000, 0.000, 0.500], [0.000, 0.500, 0.000], [0.500, 0.000, 0.000], [0.500, 0.500, 0.500], [0.000, 0.000, 0.000]], "energy_ev_per_atom": -6.8667, "dos_ef_per_ev_atom": 1.57, "magmom_total_mub_per_cell": 0.0, "formation_energy_ev_per_atom": 2.37, "vol_a3_per_cell": 103.4}

=====

Which formula does entry 3 have?
Mo3PtAu